Below is Y7IrI12 after structural relaxation, with properties calculated at the PBE level.

Lattice parameters (Å, degrees): 9.8032 9.8032 9.8032 106.91 106.91 106.91
With the nearest neighbours (Å) after each atom.
Fractional positions:
Y 0.0000 0.0000 0.0000  6 I 3.05
Y 0.2034 0.4779 0.4053  1 Ir 2.70
Y 0.4053 0.2034 0.4779  1 Ir 2.70
Y 0.4779 0.4053 0.2034  1 Ir 2.70
Y 0.5221 0.5947 0.7966  1 Ir 2.70
Y 0.5947 0.7966 0.5221  1 Ir 2.70
Y 0.7966 0.5221 0.5947  1 Ir 2.70
Ir 0.5000 0.5000 0.5000  6 Y 2.70
I 0.0364 0.1137 0.3379  3 Y 3.05-3.24
I 0.1137 0.3379 0.0364  3 Y 3.05-3.24
I 0.1748 0.5707 0.7247  3 Y 3.12-3.39
I 0.2753 0.8252 0.4293  3 Y 3.12-3.39
I 0.3379 0.0364 0.1137  3 Y 3.05-3.24
I 0.4293 0.2753 0.8252  3 Y 3.12-3.39
I 0.5707 0.7247 0.1748  3 Y 3.12-3.39
I 0.6621 0.9636 0.8863  3 Y 3.05-3.24
I 0.7247 0.1748 0.5707  3 Y 3.12-3.39
I 0.8252 0.4293 0.2753  3 Y 3.12-3.39
I 0.8863 0.6621 0.9636  3 Y 3.05-3.24
I 0.9636 0.8863 0.6621  3 Y 3.05-3.24

## Properties
Energy   -4.91 eV per atom
Fermi-level density of states   0.297 states/eV/atom
Raw formation energy   -25.530 eV/f.u.